P | Cu2OsBr: optimized geometry, PBE.

It has space group R3m (No. 160, hexagonal axes), with a = 2.9027 Å, b = 2.9027 Å, c = 25.0159 Å, α = 90.00°, β = 90.00° and γ = 120.00°. The inequivalent atoms are Cu at (0.0000, 0.0000, 0.0000), Cu at (0.0000, 0.0000, 0.2589), Os at (0.0000, 0.0000, 0.5118) and Br at (0.0000, 0.0000, 0.7612).

Q | Cu2OsBr: optimized geometry, PBE.

It has space group Cmmm (No. 65), with a = 5.318 Å, b = 8.159 Å, c = 2.759 Å, α = 90.00°, β = 90.00° and γ = 90.00°. The inequivalent atoms are Cu at (0.250, 0.250, 0.000), Os at (0.000, 0.000, 0.500) and Br at (0.000, 0.500, 0.500).

Which structure is most stable, and how do the rest compare? From most to least stable: P, Q.

P | Cu2OsBr: optimized geometry, PBE.

It has space group C2/m (No. 12), with a = 9.319 Å, b = 2.894 Å, c = 4.706 Å, α = 90.00°, β = 104.56° and γ = 90.00°. The inequivalent atoms are Cu at (0.241, 0.000, 0.212), Os at (0.000, 0.500, 0.000) and Br at (0.000, 0.000, 0.500).

Q | Cu2OsBr: optimized geometry, PBE.

It has space group I-4m2 (No. 119), with a = 3.829 Å, b = 3.829 Å, c = 8.081 Å, α = 90.00°, β = 90.00° and γ = 90.00°. The inequivalent atoms are Cu at (0.000, 0.000, 0.000), Cu at (0.000, 0.500, 0.250), Os at (0.000, 0.500, 0.750) and Br at (0.000, 0.000, 0.500).

R | Cu2OsBr: optimized geometry, PBE.

It has space group P4/mmm (No. 123), with a = 2.742 Å, b = 2.742 Å, c = 9.588 Å, α = 90.00°, β = 90.00° and γ = 90.00°. The inequivalent atoms are Cu at (0.000, 0.000, 0.182), Os at (0.500, 0.500, 0.000) and Br at (0.500, 0.500, 0.500).

S | Cu2OsBr: optimized geometry, PBE.

It has space group P4mm (No. 99), with a = 3.073 Å, b = 3.073 Å, c = 6.611 Å, α = 90.00°, β = 90.00° and γ = 90.00°. The inequivalent atoms are Cu at (0.000, 0.000, 0.000), Cu at (0.500, 0.500, 0.193), Os at (0.000, 0.000, 0.400) and Br at (0.500, 0.500, 0.681).

Which structure is most stable, and how do the rest compare? From most to least stable: R, S, P, Q.

P | Cu2OsBr: optimized geometry, PBE.

It has space group R-3m (No. 166, hexagonal axes), with a = 2.8967 Å, b = 2.8967 Å, c = 25.5595 Å, α = 90.00°, β = 90.00° and γ = 120.00°. The inequivalent atoms are Cu at (0.0000, 0.0000, 0.2450), Os at (0.0000, 0.0000, 0.5000) and Br at (0.0000, 0.0000, 0.0000).

Q | Cu2OsBr: optimized geometry, PBE.

It has space group Cmmm (No. 65), with a = 2.937 Å, b = 4.904 Å, c = 8.704 Å, α = 90.00°, β = 90.00° and γ = 90.00°. The inequivalent atoms are Cu at (0.000, 0.000, 0.238), Os at (0.000, 0.500, 0.000) and Br at (0.000, 0.500, 0.500).

Which structure is most stable, and how do the rest compare? From most to least stable: P, Q.